DFT (GGA-PBE) results for a geometry-optimized CsHoBr4 structure.

a b c (Å): 5.659 11.803 10.649
angles (deg): 108.43 90.00 103.87
Atoms (fractional coordinates):
Br 0.196 0.393 0.535
Br 0.804 0.607 0.465
Br 0.832 0.664 0.127
Br 0.020 0.040 0.340
Br 0.408 0.815 0.389
Br 0.980 0.960 0.660
Br 0.592 0.185 0.611
Br 0.168 0.336 0.873
Ho 0.094 0.188 0.613
Ho 0.906 0.812 0.387
Cs 0.238 0.476 0.231
Cs 0.762 0.524 0.769

Results
DFT total energy = -46.4 eV/cell